This record from the Alexandria database describes a relaxed structure of VAgPt2F. The functional is PBE with a Hubbard U.

space group = P4/mmm
total magnetization = 0.88 μB per cell
Fermi-level density of states = 7.562 states/eV/cell
uncorrected energy = -3.784 eV per atom

abc: 5.0036 3.9399 5.0036
angles: 90.00 90.00 90.00
Closest atoms and distances in Å follow each position.
Element x y z (fractional)
V  0.5000  0.5000  0.5000  8 Pt 3.18, 4 F 3.54
Pt  0.5000  0.0000  0.0000  2 Ag 2.50
Pt  0.0000  0.0000  0.5000  2 Ag 2.50
F  0.0000  0.5000  0.0000  2 Ag 1.97
Ag  0.0000  0.0000  0.0000  2 F 1.97